The following is a GGA-PBE calculation of crystalline Ba3Mn at its relaxed geometry, from Alexandria.

Results
The calculation puts the volume at 45.54 Å³ per atom. The value obtained for the density of states at the Fermi level is 7.10 states/eV/f.u. As for the symmetry: P6_3/mmc, No. 194. For the formation energy, the calculation gives 10.53 kcal/mol of atoms.

abc: 8.1619 8.1619 6.3153
angles: 90.00 90.00 120.00
Element x y z (fractional)
Ba 0.1758 0.3515 0.2500
Ba 0.1758 0.8242 0.2500
Ba 0.3515 0.1758 0.7500
Ba 0.6484 0.8242 0.2500
Ba 0.8242 0.1758 0.7500
Ba 0.8242 0.6484 0.7500
Mn 0.3333 0.6667 0.7500
Mn 0.6667 0.3333 0.2500